{
  "formula": "SnWCl4",
  "functional": "GGA-PBE",
  "state": "optimized geometry",
  "lattice": [[5.2717, -0.1334, -1.1904], [-2.6950, 8.4179, -2.4632], [0.1922, -1.8255, 8.1241]],
  "species": ["W", "W", "Cl", "Cl", "Cl", "Cl", "Cl", "Cl", "Cl", "Cl", "Sn", "Sn"],
  "frac_coords": [[0.2034, 0.9534, 0.9068], [0.7966, 0.0466, 0.0932], [0.8330, 0.6651, 0.6281], [0.0779, 0.8927, 0.1403], [0.9221, 0.1073, 0.8597], [0.5624, 0.2476, 0.1403], [0.4376, 0.7524, 0.8597], [0.2951, 0.9630, 0.6281], [0.1670, 0.3349, 0.3719], [0.7049, 0.0370, 0.3719], [0.4527, 0.7027, 0.4053], [0.5473, 0.2973, 0.5947]],
  "sg": "C2/c (15)",
  "formation_energy_uncorrected_ev_per_fu": -2.89
}

=====

{
  "formula": "SnW2Cl",
  "functional": "GGA-PBE",
  "state": "optimized geometry",
  "lattice": [[-1.3982, -4.1795, 1.3650], [-4.4513, -0.7444, 0.9584], [-2.5607, -2.6091, -2.8146]],
  "species": ["Sn", "W", "W", "Cl"],
  "frac_coords": [[0.5000, 0.5000, 0.5000], [0.7500, 0.7500, 0.7500], [0.2500, 0.2500, 0.2500], [0.0000, 0.0000, 0.0000]],
  "sg": "Fm-3m (225)",
  "formation_energy_uncorrected_ev_per_fu": 4.65,
  "de_polymorph_mev_per_atom": 50
}

=====

{
  "formula": "SnWCl3",
  "functional": "GGA-PBE",
  "state": "optimized geometry",
  "lattice": [[5.4302, 0.0000, 0.0000], [0.0000, 5.4302, 0.0000], [0.0000, 0.0000, 5.4302]],
  "species": ["Cl", "Cl", "Cl", "W", "Sn"],
  "frac_coords": [[0.0000, 0.5000, 0.0000], [0.5000, 0.0000, 0.0000], [0.0000, 0.0000, 0.5000], [0.5000, 0.5000, 0.5000], [0.0000, 0.0000, 0.0000]],
  "sg": "Pm-3m (221)",
  "formation_energy_uncorrected_ev_per_fu": 3.67,
  "de_polymorph_mev_per_atom": 496
}

=====

{
  "formula": "Sn2WCl",
  "functional": "GGA-PBE",
  "state": "optimized geometry",
  "lattice": [[-1.5869, 4.2311, 4.5688], [2.9880, -3.6192, 4.3895], [6.1972, 3.5339, 3.3989]],
  "species": ["W", "W", "Sn", "Sn", "Sn", "Sn", "Cl", "Cl"],
  "frac_coords": [[0.0000, 0.0000, 0.0000], [0.7500, 0.2500, 0.5000], [0.3750, 0.3287, 0.7500], [0.6713, 0.1250, 0.2500], [0.0787, 0.6250, 0.2500], [0.8750, 0.9213, 0.7500], [0.2500, 0.7500, 0.5000], [0.5000, 0.5000, 0.0000]],
  "sg": "I-42d (122)",
  "formation_energy_uncorrected_ev_per_fu": 3.48,
  "de_polymorph_mev_per_atom": 19
}